# 1
# YHgSeBr2

A relaxed YHgSeBr2 crystal (PBE, the Alexandria database).

a = 5.416 Å, b = 5.416 Å, c = 5.391 Å
α = 90.00°, β = 90.00°, γ = 90.00°
Atoms (fractional coordinates):
1 Y 0.000 0.000 0.000
2 Hg 0.500 0.500 0.500
3 Se 0.500 0.500 0.000
4 Br 0.000 0.500 0.500
5 Br 0.500 0.000 0.500

## Properties
Crystal system: tetragonal
Symmetry: P4/mmm (123)
Magnetic moment: 0.1444 μB/atom
E above lowest polymorph: 4.05 eV per formula unit

---

# 2
# ZrSi4Pd6

A relaxed ZrSi4Pd6 crystal (PBE, the Alexandria database).

a = 7.182 Å, b = 7.182 Å, c = 3.756 Å
α = 90.00°, β = 90.00°, γ = 120.00°
Atoms (fractional coordinates):
1 Zr 0.000 0.000 0.000
2 Si 0.333 0.667 0.000
3 Si 0.375 0.187 0.500
4 Si 0.813 0.187 0.500
5 Si 0.813 0.625 0.500
6 Pd 0.195 0.391 0.500
7 Pd 0.195 0.805 0.500
8 Pd 0.535 0.069 0.000
9 Pd 0.535 0.465 0.000
10 Pd 0.609 0.805 0.500
11 Pd 0.931 0.465 0.000

## Properties
Crystal system: hexagonal
Symmetry: P-6m2 (187)
Magnetic moment: 0.0000 μB/atom

---

# 3
# DyZn2Ni6

A relaxed DyZn2Ni6 crystal (PBE, the Alexandria database).

a = 7.412 Å, b = 7.412 Å, c = 7.412 Å
α = 60.00°, β = 60.00°, γ = 60.00°
Atoms (fractional coordinates):
1 Dy 0.125 0.125 0.125
2 Dy 0.875 0.875 0.875
3 Zn 0.000 0.500 0.500
4 Zn 0.500 0.000 0.500
5 Zn 0.500 0.500 0.000
6 Zn 0.500 0.500 0.500
7 Ni 0.116 0.116 0.634
8 Ni 0.116 0.634 0.116
9 Ni 0.116 0.634 0.634
10 Ni 0.366 0.366 0.884
11 Ni 0.366 0.884 0.366
12 Ni 0.366 0.884 0.884
13 Ni 0.634 0.116 0.116
14 Ni 0.634 0.116 0.634
15 Ni 0.634 0.634 0.116
16 Ni 0.884 0.366 0.366
17 Ni 0.884 0.366 0.884
18 Ni 0.884 0.884 0.366

## Properties
Crystal system: cubic
Symmetry: Fd-3m (227)
Magnetic moment: 0.0000 μB/atom
Calculated formation energy: 0.36 eV per atom

---

# 4
# FeBiMo2

A relaxed FeBiMo2 crystal (PBE, the Alexandria database).

a = 5.823 Å, b = 5.823 Å, c = 5.823 Å
α = 102.58°, β = 102.58°, γ = 124.36°
Atoms (fractional coordinates):
1 Fe 0.000 0.000 0.000
2 Fe 0.750 0.250 0.500
3 Bi 0.250 0.750 0.500
4 Bi 0.500 0.500 0.000
5 Mo 0.060 0.625 0.935
6 Mo 0.375 0.310 0.435
7 Mo 0.690 0.125 0.065
8 Mo 0.875 0.940 0.565

## Properties
Crystal system: tetragonal
Symmetry: I-42d (122)
Magnetic moment: 0.0000 μB/atom
Calculated formation energy: 0.83 eV per atom

---

# 5
# Mg4Tl2Pb

A relaxed Mg4Tl2Pb crystal (PBE, the Alexandria database).

a = 8.520 Å, b = 8.520 Å, c = 8.520 Å
α = 142.46°, β = 142.46°, γ = 54.14°
Atoms (fractional coordinates):
1 Mg 0.000 0.500 0.500
2 Mg 0.193 0.193 0.000
3 Mg 0.500 0.000 0.500
4 Mg 0.807 0.807 0.000
5 Tl 0.385 0.385 0.000
6 Tl 0.615 0.615 0.000
7 Pb 0.000 0.000 0.000

## Properties
Crystal system: tetragonal
Symmetry: I4/mmm (139)
Magnetic moment: 0.0000 μB/atom
E above lowest polymorph: 2.09 eV per formula unit
Calculated formation energy: 0.30 eV per atom

---

# 6
# Ag6GeF12

A relaxed Ag6GeF12 crystal (PBE, the Alexandria database).

a = 6.747 Å, b = 6.747 Å, c = 6.747 Å
α = 98.17°, β = 98.17°, γ = 98.17°
Atoms (fractional coordinates):
1 Ag 0.096 0.642 0.807
2 Ag 0.193 0.904 0.358
3 Ag 0.358 0.193 0.904
4 Ag 0.642 0.807 0.096
5 Ag 0.807 0.096 0.642
6 Ag 0.904 0.358 0.193
7 Ge 0.500 0.500 0.500
8 F 0.082 0.334 0.892
9 F 0.108 0.918 0.666
10 F 0.226 0.508 0.449
11 F 0.334 0.892 0.082
12 F 0.449 0.226 0.508
13 F 0.492 0.551 0.774
14 F 0.508 0.449 0.226
15 F 0.551 0.774 0.492
16 F 0.666 0.108 0.918
17 F 0.774 0.492 0.551
18 F 0.892 0.082 0.334
19 F 0.918 0.666 0.108

## Properties
Crystal system: trigonal
Symmetry: R-3 (148)
Magnetic moment: 0.1064 μB/atom

---

| no. | ρ (Mg/m³) | total energy (eV per cell) |
| --- | --- | --- |
| 1 | 5.55 | -14.61 |
| 2 | 8.33 | -69.22 |
| 3 | 7.45 | -77.24 |
| 4 | 10.52 | -61.39 |
| 5 | 5.19 | -12.75 |
| 6 | 5.30 | -71.91 |